Record 1
The following is a PBE calculation of a relaxed structure of Mg3SnSe, from Alexandria via LeMat-Bulk.

Energy above the lowest structure with this stoichiometry (meV per atom): 0

Lattice parameters (Å, degrees): 5.028 5.028 5.028 90.00 90.00 90.00
Positions (direct):
1 Mg 0.500 0.000 0.000
2 Mg 0.000 0.000 0.500
3 Mg 0.000 0.500 0.000
4 Sn 0.500 0.500 0.500
5 Se 0.000 0.000 0.000

Record 2
The following is a PBE calculation of a relaxed structure of BaPSe2, from Alexandria via LeMat-Bulk.

Energy above the lowest structure with this stoichiometry (meV per atom): 677

Lattice parameters (Å, degrees): 4.108 4.108 6.161 90.00 90.00 90.00
Positions (direct):
1 P 0.500 0.500 0.500
2 Se 0.000 0.000 0.283
3 Se 0.000 0.000 0.717
4 Ba 0.500 0.500 0.000

Record 3
The following is a PBE calculation of a relaxed structure of CsPuTiTe4, from Alexandria via LeMat-Bulk.

Lattice parameters (Å, degrees): 7.300 7.520 10.632 90.00 109.35 90.00
Site moments in Bohr magnetons follow the coordinates.
Positions (direct):
1 Cs 0.247 0.250 0.056  0.00
2 Te 0.568 0.250 0.821  -0.06
3 Te 0.443 0.750 0.581  -0.08
4 Te 0.557 0.250 0.419  -0.08
5 Ti 0.775 0.250 0.664  0.12
6 Te 0.432 0.750 0.179  -0.06
7 Te 0.027 0.512 0.706  -0.08
8 Te 0.973 0.488 0.294  -0.08
9 Te 0.027 0.988 0.706  -0.08
10 Ti 0.225 0.750 0.336  0.12
11 Te 0.973 0.012 0.294  -0.08
12 Pu 0.784 0.750 0.456  5.20
13 Pu 0.216 0.250 0.544  5.20
14 Cs 0.753 0.750 0.944  0.00

In the order shown, the computed energy relative to the elements, uncorrected values come out to -14.2; -22.4; -83.4 kJ/mol of atoms.